## TbDyTh2Sb4 (GGA-PBE)

Data for an optimized crystal structure of TbDyTh2Sb4.

Geometry as POSCAR:
```
TbDyTh2Sb4
1.0
7.6733 0.0000 0.0000
0.0000 4.4626 0.0000
-2.6025 0.0000 7.2763
Tb Dy Th Sb
1 1 2 4
Cartesian
0.0000 0.0000 0.0000
-1.3012 2.2313 3.6382
2.5354 0.0000 3.6382
3.8367 2.2313 0.0000
-0.0911 0.0000 5.4322
1.2102 2.2313 1.8025
3.8607 2.2313 5.4738
5.1620 0.0000 1.8442
```

Calculated values
The density of states at the Fermi level comes out at 0.551 states/eV per atom. For the uncorrected formation energy, the calculation gives -1.0277 eV per atom.

## Tb3DyTh2Sb6 (GGA-PBE)

Data for an optimized crystal structure of Tb3DyTh2Sb6.

Geometry as POSCAR:
```
Tb3DyTh2Sb6
1.0
9.6632 -2.2226 0.0000
9.6632 2.2226 0.0000
-2.0220 0.0000 8.6239
Tb Dy Th Sb
3 1 2 6
Cartesian
0.0000 0.0000 0.0000
5.0864 0.0000 5.7433
12.2180 0.0000 2.8806
-1.0110 0.0000 4.3119
6.1359 0.0000 1.4604
11.1685 0.0000 7.1635
3.0226 0.0000 0.7533
2.0396 0.0000 4.9787
8.1035 0.0000 6.4508
9.2009 0.0000 2.1731
15.2648 0.0000 3.6452
14.2818 0.0000 7.8706
```

Calculated values
The density of states at the Fermi level comes out at 0.383 states/eV per atom. For the uncorrected formation energy, the calculation gives -1.0731 eV per atom.

## TbDy3Th2Sb6 (GGA-PBE)

Data for an optimized crystal structure of TbDy3Th2Sb6.

Geometry as POSCAR:
```
TbDy3Th2Sb6
1.0
9.6474 -2.2199 0.0000
9.6474 2.2199 0.0000
-2.0100 0.0000 8.6132
Tb Dy Th Sb
1 3 2 6
Cartesian
0.0000 0.0000 0.0000
-1.0050 0.0000 4.3066
6.0923 0.0000 1.4310
11.1924 0.0000 7.1822
5.1196 0.0000 5.7652
12.1651 0.0000 2.8480
2.0053 0.0000 5.0641
3.0598 0.0000 0.6610
9.0960 0.0000 2.1503
8.1888 0.0000 6.4628
14.2250 0.0000 7.9522
15.2795 0.0000 3.5491
```

Calculated values
The density of states at the Fermi level comes out at 0.381 states/eV per atom. For the uncorrected formation energy, the calculation gives -1.0672 eV per atom.